A | ## PmPuIn (GGA-PBE)

Data for a geometry-optimized PmPuIn structure.

```
PmPuIn
1.0
4.714 0.000 0.000
0.000 4.714 0.000
0.000 0.000 8.081
Pm Pu In
2 2 2
Cartesian
1.178 1.178 1.604
3.535 3.535 6.477
1.178 1.178 6.299
3.535 3.535 1.782
1.178 3.535 4.040
3.535 1.178 4.040
```

Values from the calculation:
SG: P4/nmm (129)
Volume (A^3/atom): 29.927


B | ## PmPuIn (GGA-PBE)

Data for a geometry-optimized PmPuIn structure.

```
PmPuIn
1.0
5.379 0.000 0.000
-2.690 4.659 0.000
0.000 0.000 3.337
Pm Pu In
1 1 1
Cartesian
0.000 0.000 0.000
2.690 1.553 2.124
0.000 3.106 1.089
```

Values from the calculation:
SG: P3m1 (156)
Volume (A^3/atom): 27.873


C | ## PmPuIn (GGA-PBE)

Data for a geometry-optimized PmPuIn structure.

```
PmPuIn
1.0
-1.850 1.850 6.369
1.850 -1.850 6.369
1.850 1.850 -6.369
Pm Pu In
1 1 1
Cartesian
0.000 0.000 0.000
0.000 0.000 4.014
0.000 0.000 8.401
```

Values from the calculation:
SG: I4mm (107)
Volume (A^3/atom): 29.059


How do the energies compare? Relative to the most stable structure, in eV/atom: A 0.212; B 0.020; C 0.000.


A | ## PmPuIn4 (GGA-PBE)

Data for a geometry-optimized PmPuIn4 structure.

```
PmPuIn4
1.0
0.000 4.285 4.285
4.285 0.000 4.285
4.285 4.285 0.000
Pm Pu In
1 1 4
Cartesian
0.000 0.000 0.000
6.428 6.428 6.428
3.214 3.214 3.214
5.356 5.356 3.214
5.356 3.214 5.356
3.214 5.356 5.356
```

Values from the calculation:
SG: F-43m (216)
Volume (A^3/atom): 26.226


B | ## PmPuIn4 (GGA-PBE)

Data for a geometry-optimized PmPuIn4 structure.

```
PmPuIn4
1.0
3.583 0.000 0.000
0.000 5.027 0.000
-0.005 0.000 8.751
Pm Pu In
1 1 4
Cartesian
0.000 0.000 0.000
-0.002 2.514 4.376
1.781 0.000 5.834
1.783 2.514 1.453
1.797 0.000 2.917
1.795 2.514 7.298
```

Values from the calculation:
SG: P2/m (10)
Volume (A^3/atom): 26.271


How do the energies compare? Relative to the most stable structure, in eV/atom: A 0.058; B 0.000.


A | ## PmIn2Rh (GGA-PBE)

Data for a geometry-optimized PmIn2Rh structure.

```
PmIn2Rh
1.0
4.283 0.000 0.000
0.000 4.283 0.000
0.000 0.000 4.932
Pm In Rh
1 2 1
Cartesian
0.000 0.000 0.000
0.000 2.141 2.466
2.141 0.000 2.466
2.141 2.141 0.000
```

Values from the calculation:
SG: P4/mmm (123)
Volume (A^3/atom): 22.615


B | ## PmIn2Rh (GGA-PBE)

Data for a geometry-optimized PmIn2Rh structure.

```
PmIn2Rh
1.0
3.403 0.000 0.000
0.000 3.403 0.000
0.000 0.000 7.634
Pm In Rh
1 2 1
Cartesian
0.000 0.000 0.000
1.702 1.702 2.301
1.702 1.702 5.333
0.000 0.000 3.817
```

Values from the calculation:
SG: P4/mmm (123)
Volume (A^3/atom): 22.102


How do the energies compare? Relative to the most stable structure, in eV/atom: A 0.032; B 0.000.


A | ## PmInRh (GGA-PBE)

Data for a geometry-optimized PmInRh structure.

```
PmInRh
1.0
7.562 0.000 0.000
0.000 4.149 0.000
-0.270 0.000 12.889
Pm In Rh
6 6 6
Cartesian
0.275 1.037 1.600
1.090 1.037 5.393
3.177 3.112 10.139
4.115 1.037 2.751
6.202 3.112 7.496
7.017 3.112 11.289
0.714 1.037 9.079
2.706 3.112 0.572
3.647 3.112 5.319
3.645 1.037 7.571
4.586 1.037 12.317
6.578 3.112 3.811
1.801 3.112 3.231
1.650 1.037 11.803
1.751 3.112 7.523
5.541 1.037 5.366
5.642 3.112 1.087
5.491 1.037 9.658
```

Values from the calculation:
SG: P2_1/m (11)
Volume (A^3/atom): 22.464


B | ## PmInRh (GGA-PBE)

Data for a geometry-optimized PmInRh structure.

```
PmInRh
1.0
0.000 3.351 3.351
3.351 0.000 3.351
3.351 3.351 0.000
Pm In Rh
1 1 1
Cartesian
0.000 0.000 0.000
3.351 3.351 3.351
1.676 1.676 1.676
```

Values from the calculation:
SG: F-43m (216)
Volume (A^3/atom): 25.093


How do the energies compare? Relative to the most stable structure, in eV/atom: A 0.000; B 0.142.